Density functional theory data (GGA-PBE) for a geometry-optimized Hf2InCu structure.

Output
ΔE_f: 236 meV per atom
spin magnetization: 0.00 μB/f.u.
electronic total energy: -25.80 eV/f.u.
V: 335.5 Å³/cell
mass density: 10.60 g/cm³

Cell: 7.5725 7.5725 5.8503 Å, 90.00 90.00 90.00°
With the nearest neighbours (Å) after each atom.
Space group I-42d (No. 122)
Symmetry-distinct sites (fractional):
Hf (0.2084, 0.7500, 0.1250) [8 per cell]  2 Cu 2.57
In (0.0000, 0.0000, 0.5000) [4 per cell]  2 Cu 2.93, 4 Hf 3.00
Cu (0.0000, 0.0000, 0.0000) [4 per cell]  4 Hf 2.57

=====

Density functional theory data (GGA-PBE) for a geometry-optimized HfInCu structure.

Output
ΔE_f: -56 meV per atom
spin magnetization: 0.00 μB/f.u.
electronic total energy: -16.96 eV/f.u.
V: 114.6 Å³/cell
mass density: 10.34 g/cm³

Cell: 3.2618 5.7579 6.6984 Å, 74.86 76.01 73.63°
With the nearest neighbours (Å) after each atom.
Space group P1 (No. 1)
Symmetry-distinct sites (fractional):
Hf (0.0000, 0.0000, 0.0000) [1 per cell]  4 Cu 2.81-2.85, 2 In 3.10
Hf (0.2573, 0.0916, 0.3934) [1 per cell]  3 Cu 2.71-2.78, 1 In 3.03
In (0.5665, 0.5839, 0.2854) [1 per cell]  3 Cu 2.71-2.75, 1 Hf 3.03
In (0.8014, 0.6851, 0.7109) [1 per cell]  4 Cu 2.77-2.86
Cu (0.2874, 0.4098, 0.0160) [1 per cell]  1 Cu 2.50, 1 Hf 2.71, 4 In 2.71-2.77
Cu (0.5279, 0.2713, 0.6737) [1 per cell]  1 Cu 2.50, 1 In 2.75, 2 Hf 2.78

=====

Density functional theory data (GGA-PBE) for a geometry-optimized HfInCu structure.

Output
ΔE_f: -35 meV per atom
spin magnetization: 0.00 μB/f.u.
electronic total energy: -16.89 eV/f.u.
V: 115.1 Å³/cell
mass density: 10.30 g/cm³

Cell: 3.2427 5.6411 6.8600 Å, 76.42 76.44 73.54°
With the nearest neighbours (Å) after each atom.
Space group P-1 (No. 2)
Symmetry-distinct sites (fractional):
Hf (0.1568, 0.2365, 0.4495) [2 per cell]  3 Cu 2.71-2.93, 2 Hf 3.00-3.01
In (0.4185, 0.3281, 0.8378) [2 per cell]  5 Cu 2.77-3.05
Cu (0.1347, 0.8905, 0.8420) [2 per cell]  1 Cu 2.60, 2 Hf 2.71-2.72, 4 In 2.77-2.87

=====

Density functional theory data (GGA-PBE) for a geometry-optimized Hf2InCu3 structure.

Output
ΔE_f: -64 meV per atom
spin magnetization: 0.00 μB/f.u.
electronic total energy: -35.32 eV/f.u.
V: 205.9 Å³/cell
mass density: 10.68 g/cm³

Cell: 4.4843 13.5149 3.3974 Å, 90.00 90.00 90.00°
With the nearest neighbours (Å) after each atom.
Space group Pmmn (No. 59, origin choice 2)
Symmetry-distinct sites (fractional):
Hf (0.2500, 0.0873, 0.9997) [4 per cell]  8 Cu 2.72-2.82
In (0.2500, 0.7500, 0.0008) [2 per cell]  8 Cu 2.81-2.97, 4 Hf 3.14
Cu (0.2500, 0.2500, 0.4994) [2 per cell]  4 Hf 2.78, 4 In 2.81
Cu (0.2500, 0.5702, 0.5001) [4 per cell]  6 Hf 2.72-2.82, 2 Cu 2.94, 2 In 2.96-2.97

=====

Density functional theory data (GGA-PBE) for a geometry-optimized HfIn2Cu9 structure.

Output
ΔE_f: -41 meV per atom
spin magnetization: 0.00 μB/f.u.
electronic total energy: -52.79 eV/f.u.
V: 520.5 Å³/cell
mass density: 9.38 g/cm³

Cell: 4.9668 4.9668 24.3618 Å, 90.00 90.00 120.00°
With the nearest neighbours (Å) after each atom.
Space group R-3m (No. 166, hexagonal axes)
Symmetry-distinct sites (fractional):
Hf (0.0000, 0.0000, 0.0000) [3 per cell]  18 Cu 2.87-3.20
In (0.0000, 0.0000, 0.1388) [6 per cell]  12 Cu 2.84-3.07, 3 In 3.17
Cu (0.0000, 0.0000, 0.3336) [6 per cell]  6 Cu 2.47
Cu (0.0000, 0.0000, 0.5000) [3 per cell]  6 Cu 2.51
Cu (0.0026, 0.5013, 0.9173) [18 per cell]  7 Cu 2.46-2.51

=====

Density functional theory data (GGA-PBE) for a geometry-optimized Hf2InCu structure.

Output
ΔE_f: 59 meV per atom
spin magnetization: 0.00 μB/f.u.
electronic total energy: -26.50 eV/f.u.
V: 246.1 Å³/cell
mass density: 10.84 g/cm³

Cell: 3.2085 3.2085 27.6014 Å, 90.00 90.00 120.00°
With the nearest neighbours (Å) after each atom.
Space group R-3m (No. 166, hexagonal axes)
Symmetry-distinct sites (fractional):
Hf (0.0000, 0.0000, 0.2405) [6 per cell]  3 Cu 2.75
In (0.0000, 0.0000, 0.0000) [3 per cell]  6 Hf 3.16, 6 In 3.21
Cu (0.0000, 0.0000, 0.5000) [3 per cell]  6 Hf 2.75